Entry 1:
Computed, not measured: a geometry-optimized KNaSnAs structure at the PBE level of DFT.

Computed properties:
The value obtained for the density of states at the Fermi level is 1.6 states/eV/cell. As for the space group: Cm, No. 8. Its mass density is 2.9 Mg/m³. The value obtained for the total moment is 0.00 μB per formula unit. For the total energy, the calculation gives -2.9910 eV/atom.

Cell: 4.1216 4.1216 10.2121 Å, 90.08 101.56 120.01°
Sites, in units of the cell vectors:
K: 0.4983 0.6326 0.1310
Na: 0.5802 0.1770 0.7572
Sn: 0.7510 0.7610 0.5120
As: 0.3260 0.0480 0.3741

---

Entry 2:
Computed, not measured: a geometry-optimized CoBr3 structure at the PBE level of DFT.

Computed properties:
The calculation puts the uncorrected formation energy at 0.880 eV per atom. The value obtained for the density of states at the Fermi level is 6.8 states/eV/cell. As for the space group: Pm-3m, No. 221. Its mass density is 5.0 Mg/m³. The value obtained for the total moment is 4.01 μB per formula unit.

Cell: 4.6421 4.6421 4.6421 Å, 90.00 90.00 90.00°
Last column: magnetic moment on the atom in μB.
Sites, in units of the cell vectors:
Br: 0.0000 0.5000 0.5000  0.44
Br: 0.5000 0.0000 0.5000  0.44
Br: 0.5000 0.5000 0.0000  0.44
Co: 0.0000 0.0000 0.0000  2.33

---

Entry 3:
Computed, not measured: a geometry-optimized TbPmNi4 structure at the PBE level of DFT.

Computed properties:
The value obtained for the density of states at the Fermi level is 4.4 states/eV/cell. As for the space group: F-43m, No. 216. Its mass density is 9.5 Mg/m³. The value obtained for the total moment is 0.00 μB per formula unit. For the total energy, the calculation gives -5.8050 eV/atom.

Cell: 5.1137 5.1137 5.1137 Å, 60.00 60.00 60.00°
Sites, in units of the cell vectors:
Ni: 0.6255 0.6255 0.1236
Ni: 0.6255 0.1236 0.6255
Ni: 0.6255 0.6255 0.6255
Ni: 0.1236 0.6255 0.6255
Tb: 0.0000 0.0000 0.0000
Pm: 0.2500 0.2500 0.2500

---

Entry 4:
Computed, not measured: a geometry-optimized YHo2HgC structure at the PBE level of DFT.

Computed properties:
The value obtained for the density of states at the Fermi level is 7.3 states/eV/cell. As for the space group: P4/mmm, No. 123. Its mass density is 9.0 Mg/m³. The value obtained for the total moment is 0.45 μB per formula unit. For the total energy, the calculation gives -5.4183 eV/atom.

Cell: 4.9170 4.8731 4.8731 Å, 90.00 90.00 90.00°
Last column: magnetic moment on the atom in μB.
Sites, in units of the cell vectors:
Y: 0.5000 0.0000 0.0000  0.06
Ho: 0.0000 0.0000 0.5000  0.08
Ho: 0.0000 0.5000 0.0000  0.08
Hg: 0.5000 0.5000 0.5000  0.04
C: 0.0000 0.0000 0.0000  -0.01

---

Entry 5:
Computed, not measured: a geometry-optimized LaCdRu structure at the PBE level of DFT.

Computed properties:
The value obtained for the density of states at the Fermi level is 3.8 states/eV/cell. As for the space group: F-43m, No. 216. Its mass density is 7.7 Mg/m³. The value obtained for the total moment is 0.00 μB per formula unit. For the total energy, the calculation gives -5.0224 eV/atom.

Cell: 4.7634 4.7634 4.7634 Å, 60.00 60.00 60.00°
Sites, in units of the cell vectors:
Cd: 0.0000 0.0000 0.0000
La: 0.5000 0.5000 0.5000
Ru: 0.2500 0.2500 0.2500

---

Entry 6:
Computed, not measured: a geometry-optimized SrCuO2 structure at the PBE level of DFT.

Computed properties:
The calculation puts the uncorrected formation energy at -1.040 eV per atom. The value obtained for the density of states at the Fermi level is 3.5 states/eV/cell. As for the space group: Fm-3m, No. 225. Its mass density is 5.9 Mg/m³. The value obtained for the total moment is 1.00 μB per formula unit.

Cell: 4.1722 4.1722 4.1722 Å, 60.00 60.00 60.00°
Last column: magnetic moment on the atom in μB.
Sites, in units of the cell vectors:
Sr: 0.5000 0.5000 0.5000  0.01
O: 0.2500 0.2500 0.2500  -0.31
O: 0.7500 0.7500 0.7500  -0.31
Cu: 0.0000 0.0000 0.0000  -0.32

---

Entry 7:
Computed, not measured: a geometry-optimized TbDyYLu structure at the PBE level of DFT.

Computed properties:
The value obtained for the density of states at the Fermi level is 8.9 states/eV/cell. The value obtained for the polymorph energy (0 for the lowest one) is 0 meV per atom. As for the space group: F-43m, No. 216. Its mass density is 7.7 Mg/m³. The value obtained for the total moment is 0.00 μB per formula unit.

Cell: 5.6409 5.6409 5.6409 Å, 60.00 60.00 60.00°
Sites, in units of the cell vectors:
Y: 0.2500 0.2500 0.2500
Lu: 0.7500 0.7500 0.7500
Tb: 0.5000 0.5000 0.5000
Dy: 0.0000 0.0000 0.0000

---

Entry 8:
Computed, not measured: a geometry-optimized LiCdBr2 structure at the PBE level of DFT.

Computed properties:
The calculation puts the uncorrected formation energy at -0.758 eV per atom. The value obtained for the density of states at the Fermi level is 2.5 states/eV/cell. The value obtained for the polymorph energy (0 for the lowest one) is 103 meV per atom. As for the space group: Cmmm, No. 65. Its mass density is 4.1 Mg/m³. The value obtained for the total moment is 0.00 μB per formula unit.

Cell: 4.0416 4.0416 8.0699 Å, 90.00 90.00 121.59°
Sites, in units of the cell vectors:
Br: 0.0000 0.0000 0.9667
Br: 0.0000 0.0000 0.5333
Cd: 0.5000 0.5000 0.2500
Li: 0.5000 0.5000 0.7500

---

Entry 9:
Computed, not measured: a geometry-optimized ZrCd2Co structure at the PBE level of DFT.

Computed properties:
The value obtained for the density of states at the Fermi level is 4.2 states/eV/cell. The value obtained for the polymorph energy (0 for the lowest one) is 328 meV per atom. As for the space group: C2/m, No. 12. Its mass density is 8.2 Mg/m³. The value obtained for the total moment is 1.23 μB per formula unit.

Cell: 5.7734 5.3123 2.8893 Å, 79.61 80.37 114.52°
Last column: magnetic moment on the atom in μB.
Sites, in units of the cell vectors:
Cd: 0.0000 0.0000 0.0000  0.00
Cd: 0.0000 0.5000 0.5000  0.00
Co: 0.5000 0.5000 0.0000  1.46
Zr: 0.5000 0.0000 0.5000  -0.10

---

Entry 10:
Computed, not measured: a geometry-optimized Pm4Sm3Ho5 structure at the PBE level of DFT.

Computed properties:
The value obtained for the density of states at the Fermi level is 19.0 states/eV/cell. The value obtained for the polymorph energy (0 for the lowest one) is 207 meV per atom. As for the space group: C2/m, No. 12. Its mass density is 7.7 Mg/m³. The value obtained for the total moment is 0.27 μB per formula unit.

Cell: 5.9545 8.5826 9.7323 Å, 105.78 72.19 69.70°
Last column: magnetic moment on the atom in μB.
Sites, in units of the cell vectors:
Pm: 0.8611 0.2226 0.0553  0.00
Pm: 0.1699 0.0417 0.6185  0.00
Pm: 0.8301 0.9583 0.3815  0.00
Pm: 0.1389 0.7774 0.9447  0.00
Sm: 0.5234 0.6865 0.2667  0.00
Sm: 0.0000 0.5000 0.5000  0.08
Sm: 0.4766 0.3135 0.7333  0.00
Ho: 0.6266 0.9451 0.8018  0.01
Ho: 0.5000 0.5000 0.5000  0.11
Ho: 0.2148 0.4572 0.1132  0.01
Ho: 0.7852 0.5428 0.8868  0.01
Ho: 0.3734 0.0549 0.1982  0.01

---

Entry 11:
Computed, not measured: a geometry-optimized Cs3Tl3Hg8 structure at the PBE level of DFT.

Computed properties:
The value obtained for the density of states at the Fermi level is 6.7 states/eV/cell. As for the space group: Immm, No. 71. Its mass density is 8.6 Mg/m³. The value obtained for the total moment is 0.00 μB per formula unit. For the total energy, the calculation gives -1.0524 eV/atom.

Cell: 5.4780 10.5300 10.5300 Å, 61.20 74.92 74.92°
Sites, in units of the cell vectors:
Cs: 0.5000 0.5000 0.5000
Cs: 0.7849 0.2151 0.2151
Cs: 0.2151 0.7849 0.7849
Tl: 0.5000 0.0000 0.0000
Tl: 0.0000 0.8250 0.1750
Tl: 0.0000 0.1750 0.8250
Hg: 0.6393 0.0676 0.6538
Hg: 0.3607 0.9324 0.3462
Hg: 0.6393 0.6538 0.0676
Hg: 0.3607 0.3462 0.9324
Hg: 0.8407 0.8095 0.5092
Hg: 0.1593 0.1905 0.4908
Hg: 0.8407 0.5092 0.8095
Hg: 0.1593 0.4908 0.1905

---

Entry 12:
Computed, not measured: a geometry-optimized Sc4Tl3Cd structure at the PBE level of DFT.

Computed properties:
The value obtained for the density of states at the Fermi level is 8.3 states/eV/cell. As for the space group: C2/m, No. 12. Its mass density is 8.2 Mg/m³. The value obtained for the total moment is 0.22 μB per formula unit. For the total energy, the calculation gives -4.4413 eV/atom.

Cell: 5.0549 5.0548 8.0476 Å, 108.37 108.30 90.00°
Sites, in units of the cell vectors:
Sc: 0.3760 0.3760 0.7520
Sc: 0.6240 0.6240 0.2480
Sc: 0.1240 0.1240 0.2480
Sc: 0.8760 0.8760 0.7520
Tl: 0.0000 0.5000 0.0000
Tl: 0.7466 0.2466 0.4933
Tl: 0.2534 0.7534 0.5067
Cd: 0.5000 0.0000 0.0000

---

Entry 13:
Computed, not measured: a geometry-optimized DySn2Au structure at the PBE level of DFT.

Computed properties:
The value obtained for the density of states at the Fermi level is 2.1 states/eV/cell. As for the space group: P4/mmm, No. 123. Its mass density is 10.6 Mg/m³. The value obtained for the total moment is 0.00 μB per formula unit. For the total energy, the calculation gives -4.5110 eV/atom.

Cell: 4.4049 4.6157 4.6157 Å, 90.00 90.00 90.00°
Sites, in units of the cell vectors:
Au: 0.5000 0.0000 0.0000
Sn: 0.0000 0.0000 0.5000
Sn: 0.0000 0.5000 0.0000
Dy: 0.5000 0.5000 0.5000

---

Entry 14:
Computed, not measured: a geometry-optimized Rb3SbS structure at the PBE level of DFT.

Computed properties:
The calculation puts the uncorrected formation energy at -0.404 eV per atom. The value obtained for the density of states at the Fermi level is 7.9 states/eV/cell. The value obtained for the polymorph energy (0 for the lowest one) is 256 meV per atom. As for the space group: Pm-3m, No. 221. Its mass density is 2.6 Mg/m³. The value obtained for the total moment is 2.00 μB per formula unit.

Cell: 6.3744 6.3744 6.3744 Å, 90.00 90.00 90.00°
Last column: magnetic moment on the atom in μB.
Sites, in units of the cell vectors:
Sb: 0.5000 0.5000 0.5000  0.60
S: 0.0000 0.0000 0.0000  0.08
Rb: 0.0000 0.5000 0.0000  0.00
Rb: 0.0000 0.0000 0.5000  0.00
Rb: 0.5000 0.0000 0.0000  0.01

---

Entry 15:
Computed, not measured: a geometry-optimized AcNd12Y3 structure at the PBE level of DFT.

Computed properties:
The value obtained for the density of states at the Fermi level is 25.5 states/eV/cell. As for the space group: P4/mmm, No. 123. Its mass density is 6.6 Mg/m³. The value obtained for the total moment is 0.00 μB per formula unit. For the total energy, the calculation gives -5.0266 eV/atom.

Cell: 5.2058 5.2058 20.7981 Å, 90.00 90.00 90.00°
Sites, in units of the cell vectors:
Ac: 0.0000 0.0000 0.0000
Nd: 0.5000 0.5000 0.0000
Nd: 0.5000 0.5000 0.2549
Nd: 0.5000 0.5000 0.5000
Nd: 0.5000 0.5000 0.7451
Nd: 0.5000 0.0000 0.1304
Nd: 0.5000 0.0000 0.3769
Nd: 0.5000 0.0000 0.6231
Nd: 0.5000 0.0000 0.8696
Nd: 0.0000 0.5000 0.1304
Nd: 0.0000 0.5000 0.3769
Nd: 0.0000 0.5000 0.6231
Nd: 0.0000 0.5000 0.8696
Y: 0.0000 0.0000 0.2535
Y: 0.0000 0.0000 0.5000
Y: 0.0000 0.0000 0.7465

---

Entry 16:
Computed, not measured: a geometry-optimized LaYSc2Fe structure at the PBE level of DFT.

Computed properties:
The value obtained for the density of states at the Fermi level is 6.5 states/eV/cell. The value obtained for the polymorph energy (0 for the lowest one) is 54 meV per atom. As for the space group: P4/mmm, No. 123. Its mass density is 4.7 Mg/m³. The value obtained for the total moment is 0.00 μB per formula unit.

Cell: 5.1164 5.1164 5.0723 Å, 90.00 90.00 90.00°
Sites, in units of the cell vectors:
Y: 0.5000 0.5000 0.5000
Sc: 0.0000 0.5000 0.0000
Sc: 0.5000 0.0000 0.0000
Fe: 0.0000 0.0000 0.0000
La: 0.0000 0.0000 0.5000

---

Entry 17:
Computed, not measured: a geometry-optimized Rb2CoBrCl structure at the PBE level of DFT.

Computed properties:
The calculation puts the uncorrected formation energy at -0.672 eV per atom. The value obtained for the density of states at the Fermi level is 5.3 states/eV/cell. As for the space group: P4/mmm, No. 123. Its mass density is 3.4 Mg/m³. The value obtained for the total moment is 1.00 μB per formula unit.

Cell: 6.3676 4.1830 6.3676 Å, 90.00 90.00 90.00°
Last column: magnetic moment on the atom in μB.
Sites, in units of the cell vectors:
Co: 0.0000 0.0000 0.0000  1.07
Br: 0.5000 0.5000 0.5000  0.00
Rb: 0.0000 0.0000 0.5000  -0.01
Rb: 0.5000 0.0000 0.0000  -0.01
Cl: 0.0000 0.5000 0.0000  0.05